Entry from Alexandria via LeMat-Bulk: an optimized crystal structure of Cs2GaCl6O (PBE).

It has space group I4/mmm (No. 139), with a = 7.163 Å, b = 7.163 Å, c = 10.996 Å, α = 90.00°, β = 90.00° and γ = 90.00°. Symmetry generates all atoms from Cs at (0.000, 0.500, 0.250), Ga at (0.000, 0.000, 0.000), Cl at (0.000, 0.000, 0.213), Cl at (0.241, 0.241, 0.000) and O at (0.000, 0.000, 0.500).

The uncorrected formation energy is -0.96 eV per atom. The final energy is -3.04 eV/atom. The magnetization comes out at 3.00 μB/f.u.

---

Entry from Alexandria via LeMat-Bulk: an optimized crystal structure of Cs2GaOsCl6 (PBE).

It has space group Fm-3m (No. 225), with a = 10.589 Å, b = 10.589 Å, c = 10.589 Å, α = 90.00°, β = 90.00° and γ = 90.00°. Symmetry generates all atoms from Cs at (0.250, 0.250, 0.250), Ga at (0.000, 0.000, 0.000), Os at (0.000, 0.000, 0.500) and Cl at (0.000, 0.000, 0.274).

The uncorrected formation energy is -1.08 eV per atom. The final energy is -3.78 eV/atom. The magnetization comes out at 1.00 μB/f.u.

---

Entry from Alexandria via LeMat-Bulk: an optimized crystal structure of CsGaP2Cl (PBE).

It has space group P4/mmm (No. 123), with a = 5.976 Å, b = 5.976 Å, c = 6.282 Å, α = 90.00°, β = 90.00° and γ = 90.00°. Symmetry generates all atoms from Cs at (0.000, 0.000, 0.000), Ga at (0.500, 0.500, 0.500), P at (0.000, 0.500, 0.000) and Cl at (0.000, 0.000, 0.500).

The uncorrected formation energy is 1.09 eV per atom. The final energy is -2.22 eV/atom. The magnetization comes out at 2.96 μB/f.u. The relative energy among the computed polymorphs is 1145.8 meV/atom.